<P>
First-principles (PBE) data for a relaxed Li2RuPt2 crystal, as listed in Alexandria.

DOS at the Fermi energy ... 0.773 states/eV per atom
Magnetization ... 0.000 μB per formula unit

abc: 7.316 7.316 2.654
angles: 90.00 90.00 90.00
Space group P4/mbm (No. 127)
One atom of each set of equivalent atoms:
Li 0.123 0.377 0.000 [4 per cell]
Ru 0.000 0.000 0.500 [2 per cell]
Pt 0.176 0.676 0.500 [4 per cell]

---

<Q>
First-principles (PBE) data for a relaxed Li2RuPt2 crystal, as listed in Alexandria.

DOS at the Fermi energy ... 0.732 states/eV per atom
Magnetization ... 0.000 μB per formula unit

abc: 6.949 6.949 2.713
angles: 90.00 90.00 90.00
Space group P4/mbm (No. 127)
One atom of each set of equivalent atoms:
Li 0.109 0.391 0.000 [4 per cell]
Ru 0.000 0.000 0.000 [2 per cell]
Pt 0.193 0.693 0.500 [4 per cell]

---

Which one sits at the top of the stability order? <Q> does.

---

<P>
First-principles (PBE) data for a relaxed LiPt2S crystal, as listed in Alexandria.

DOS at the Fermi energy ... 0.159 states/eV per atom
Magnetization ... 0.000 μB per formula unit

abc: 5.196 5.196 14.712
angles: 90.00 90.00 90.00
Space group I-42d (No. 122)
One atom of each set of equivalent atoms:
Li 0.000 0.000 0.000 [4 per cell]
Pt 0.034 0.250 0.625 [8 per cell]
S 0.000 0.000 0.500 [4 per cell]

---

<Q>
First-principles (PBE) data for a relaxed LiPt2S crystal, as listed in Alexandria.

DOS at the Fermi energy ... 0.597 states/eV per atom
Magnetization ... 0.000 μB per formula unit

abc: 6.098 6.098 6.098
angles: 90.00 90.00 90.00
Space group Fm-3m (No. 225)
One atom of each set of equivalent atoms:
Li 0.000 0.000 0.000 [4 per cell]
Pt 0.250 0.250 0.250 [8 per cell]
S 0.000 0.000 0.500 [4 per cell]

---

Which one sits at the top of the stability order? <P> does.

---

<P>
First-principles (PBE) data for a relaxed Li3Sb2Pt4 crystal, as listed in Alexandria.

DOS at the Fermi energy ... 0.376 states/eV per atom
Magnetization ... 0.000 μB per formula unit

abc: 11.774 8.320 6.607
angles: 90.00 94.12 90.00
Space group C2/c (No. 15)
One atom of each set of equivalent atoms:
Li 0.000 0.047 0.250 [4 per cell]
Li 0.095 0.424 0.385 [8 per cell]
Sb 0.225 0.142 0.196 [8 per cell]
Pt 0.069 0.258 0.927 [8 per cell]
Pt 0.149 0.144 0.563 [8 per cell]

---

<Q>
First-principles (PBE) data for a relaxed Li3Sb2Pt4 crystal, as listed in Alexandria.

DOS at the Fermi energy ... 0.264 states/eV per atom
Magnetization ... 0.000 μB per formula unit

abc: 8.345 4.163 8.447
angles: 90.00 101.33 90.00
Space group C2/m (No. 12)
One atom of each set of equivalent atoms:
Li 0.000 0.000 0.000 [2 per cell]
Li 0.157 0.500 0.561 [4 per cell]
Sb 0.164 0.500 0.230 [4 per cell]
Pt 0.004 0.000 0.671 [4 per cell]
Pt 0.166 0.500 0.903 [4 per cell]

---

Which one sits at the top of the stability order? <Q> does.